DFT (PBE-GGA) results for a relaxed Sr3ZrAg crystal.

Unit cell a=6.0625 b=6.0625 c=6.0625 alpha=90.00 beta=90.00 gamma=90.00
Last column: nearest neighbours and their distance in Å.
Space group Pm-3m (No. 221)
One atom of each set of equivalent atoms:
1 Sr 0.0000 0.0000 0.5000 x3  2 Zr 3.03
2 Zr 0.0000 0.0000 0.0000 x1  6 Sr 3.03
3 Ag 0.5000 0.5000 0.5000 x1  12 Sr 4.29

Values from the calculation:
Its total moment is 1.440 μB/f.u. For the total energy, the calculation gives -11.874 eV per cell. Its formation energy is 0.91 eV per atom.